1.
The following is a GGA-PBE calculation of crystalline BaHgSe2 at its relaxed geometry, from Alexandria via LeMat-Bulk.

```
16
Lattice="10.4304 0.0000 0.0000 0.0000 8.8380 0.0000 0.0000 0.0000 6.1181" Properties=species:S:1:pos:R:3 pbc="T T T"
Hg 0.3019 4.3982 0.3824
Hg 10.1285 4.4398 3.4414
Hg 4.9133 8.8172 3.4414
Hg 5.5171 0.0208 0.3824
Se 2.4772 0.2267 0.3818
Se 7.9532 8.6113 3.4409
Se 2.7380 4.6457 3.4409
Se 7.6924 4.1923 0.3818
Se 10.1191 7.4842 3.4411
Se 0.3113 1.3539 0.3821
Se 5.5265 3.0652 0.3821
Se 4.9039 5.7729 3.4411
Ba 8.8223 7.4779 0.3820
Ba 1.6082 1.3601 3.4410
Ba 6.8234 3.0589 3.4410
Ba 3.6070 5.7791 0.3820
```

## Properties
- Total magnetic moment: 0.0 μB per cell
- Symmetry: No. 62
- Raw total energy: -51.41 eV/cell
- V: 35.249 Å³ per atom
- Energy relative to the elements, uncorrected: -0.915 eV per atom

---

2.
The following is a GGA-PBE calculation of crystalline Hg4PtRh at its relaxed geometry, from Alexandria via LeMat-Bulk.

```
6
Lattice="4.6830 -0.4967 2.9875 1.9014 4.3368 2.9460 -0.2429 -0.0920 5.5709" Properties=species:S:1:pos:R:3 pbc="T T T"
Hg 4.7199 1.1570 5.8079
Hg 2.2565 1.3594 7.0999
Hg 3.3288 3.5743 5.7872
Hg 2.3779 1.4054 4.3139
Pt 4.7561 2.8111 8.6283
Rh 0.0000 0.0000 0.0000
```

## Properties
- Formation energy: 611.0 meV per atom
- Total magnetic moment: 0.0 μB per cell
- Symmetry: No. 216
- Raw total energy: -10.93 eV/cell
- V: 20.442 Å³ per atom

---

3.
The following is a GGA-PBE calculation of crystalline Dy2ErTm2 at its relaxed geometry, from Alexandria via LeMat-Bulk.

```
10
Lattice="9.1539 0.0000 0.0000 0.0000 9.1539 0.0000 0.0000 0.0000 3.6808" Properties=species:S:1:pos:R:3 pbc="T T T"
Dy 1.1740 5.7510 0.0000
Dy 5.7510 7.9799 0.0000
Dy 7.9799 3.4029 0.0000
Dy 3.4029 1.1740 0.0000
Er 0.0000 0.0000 0.0000
Er 4.5769 4.5769 0.0000
Tm 3.0197 7.5967 1.8404
Tm 7.5967 6.1342 1.8404
Tm 6.1342 1.5572 1.8404
Tm 1.5572 3.0197 1.8404
```

## Properties
- Formation energy: 93.7 meV per atom
- Offset from the most stable computed form: 71 meV per atom
- Total magnetic moment: 0.0 μB per cell
- Symmetry: No. 127
- Raw total energy: -44.48 eV/cell
- V: 30.843 Å³ per atom